1.
Below is crystalline RbZnAu at its relaxed geometry, with properties calculated at the PBE level.

The structure belongs to space group P-6m2 (No. 187); the cell edges are 4.5512, 4.5512 and 5.2007 Å and the angles 90.00°, 90.00° and 120.00°. Symmetry generates all atoms from Rb at (0.0000, 0.0000, 0.0000), Zn at (0.3333, 0.6667, 0.5000) and Au at (0.6667, 0.3333, 0.5000).

The formation energy is -0.20 eV per atom. As for the total energy: -6.124 eV/f.u.

=====

2.
Below is crystalline Pr2SbAsRh6 at its relaxed geometry, with properties calculated at the PBE level.

The structure belongs to space group Pmmn (No. 59, origin choice 2); the cell edges are 5.5114, 8.7140 and 8.4135 Å and the angles 90.00°, 90.00° and 90.00°. Symmetry generates all atoms from Pr at (0.2500, 0.0039, 0.2189), Sb at (0.2500, 0.2500, 0.7634), As at (0.2500, 0.7500, 0.7462), Rh at (0.0030, 0.7500, 0.9821), Rh at (0.0052, 0.2500, 0.4910) and Rh at (0.2500, 0.5007, 0.5869).

The uncorrected formation energy is -0.56 eV/atom. As for the total energy: -68.021 eV/f.u.